Entry 1:
A relaxed BaTaH crystal. Source: the Alexandria database, functional PBE-GGA.

Output
As for the total magnetization: 0.00 Bohr magnetons per cell. The calculation puts the polymorph energy (0 for the lowest one) at 4.31 eV per formula unit. As for the density of states at the Fermi level: 3.68 states/eV/f.u.

a b c (Å): 3.5641 3.5641 13.1969
angles (deg): 90.00 90.00 120.00
With the nearest neighbours (Å) after each atom.
Space group P6_3/mmc (No. 194)
Unique sites:
Ba (0.0000, 0.0000, 0.2500) [2 per cell]  3 H 2.06
Ta (0.0000, 0.0000, 0.0000) [2 per cell]  2 Ba 3.30, 6 Ta 3.56
H (0.3333, 0.6667, 0.2500) [2 per cell]  3 Ba 2.06

---

Entry 2:
A relaxed BaTa3H crystal. Source: the Alexandria database, functional PBE-GGA.

Output
As for the total magnetization: 0.00 Bohr magnetons per cell. The calculation puts the polymorph energy (0 for the lowest one) at 0.00 eV per formula unit. As for the density of states at the Fermi level: 4.90 states/eV/f.u.

a b c (Å): 4.4958 4.4958 4.4958
angles (deg): 90.00 90.00 90.00
With the nearest neighbours (Å) after each atom.
Space group Pm-3m (No. 221)
Unique sites:
Ba (0.0000, 0.0000, 0.0000) [1 per cell]  12 Ta 3.18
Ta (0.0000, 0.5000, 0.5000) [3 per cell]  2 H 2.25
H (0.5000, 0.5000, 0.5000) [1 per cell]  6 Ta 2.25

---

Entry 3:
A relaxed BaTaH crystal. Source: the Alexandria database, functional PBE-GGA.

Output
As for the total magnetization: 0.00 Bohr magnetons per cell. The calculation puts the polymorph energy (0 for the lowest one) at 1.87 eV per formula unit. As for the density of states at the Fermi level: 2.51 states/eV/f.u.

a b c (Å): 3.2503 3.2503 12.6328
angles (deg): 90.00 90.00 120.00
With the nearest neighbours (Å) after each atom.
Space group P6_3mc (No. 186)
Unique sites:
Ba (0.3333, 0.6667, 0.0000) [2 per cell]  3 H 2.96, 1 Ta 3.24, 6 Ba 3.25
Ta (0.3333, 0.6667, 0.2565) [2 per cell]  3 H 2.04
H (0.0000, 0.0000, 0.3192) [2 per cell]  3 Ta 2.04

---

Entry 4:
A relaxed BaTaH crystal. Source: the Alexandria database, functional PBE-GGA.

Output
As for the total magnetization: 0.00 Bohr magnetons per cell. The calculation puts the polymorph energy (0 for the lowest one) at 5.41 eV per formula unit. As for the density of states at the Fermi level: 2.04 states/eV/f.u.

a b c (Å): 5.1766 5.1766 2.9479
angles (deg): 90.00 90.00 120.00
With the nearest neighbours (Å) after each atom.
Space group P-6m2 (No. 187)
Unique sites:
Ba (0.0000, 0.0000, 0.0000) [1 per cell]  2 Ba 2.95, 3 Ta 2.99
Ta (0.3333, 0.6667, 0.0000) [1 per cell]  2 Ta 2.95, 3 Ba 2.99
H (0.6667, 0.3333, 0.5000) [1 per cell]  2 H 2.95

---

Entry 5:
A relaxed BaTa3H crystal. Source: the Alexandria database, functional PBE-GGA.

Output
As for the total magnetization: 0.37 Bohr magnetons per cell. The calculation puts the polymorph energy (0 for the lowest one) at 12.88 eV per formula unit. As for the density of states at the Fermi level: 4.66 states/eV/f.u.

a b c (Å): 5.1212 5.1212 5.1212
angles (deg): 90.00 90.00 90.00
With the nearest neighbours (Å) after each atom.
Space group Pm-3m (No. 221)
Unique sites:
Ba (0.0000, 0.0000, 0.0000) [1 per cell]  6 Ta 2.56
Ta (0.0000, 0.0000, 0.5000) [3 per cell]  2 Ba 2.56
H (0.5000, 0.5000, 0.5000) [1 per cell]  12 Ta 3.62

---

Entry 6:
A relaxed BaTaH crystal. Source: the Alexandria database, functional PBE-GGA.

Output
As for the total magnetization: 0.00 Bohr magnetons per cell. The calculation puts the polymorph energy (0 for the lowest one) at 0.80 eV per formula unit. As for the density of states at the Fermi level: 3.04 states/eV/f.u.

a b c (Å): 20.5715 3.4911 4.2079
angles (deg): 90.00 90.00 90.00
With the nearest neighbours (Å) after each atom.
Space group Pnma (No. 62)
Unique sites:
Ba (0.0938, 0.2500, 0.2475) [4 per cell]  1 H 2.60
Ta (0.2340, 0.2500, 0.7465) [4 per cell]  4 H 1.99-2.12
H (0.2200, 0.2500, 0.2464) [4 per cell]  4 Ta 1.99-2.12

---

Entry 7:
A relaxed BaTaH crystal. Source: the Alexandria database, functional PBE-GGA.

Output
As for the total magnetization: 7.21 Bohr magnetons per cell. The calculation puts the polymorph energy (0 for the lowest one) at 6.17 eV per formula unit. As for the density of states at the Fermi level: 4.02 states/eV/f.u.

a b c (Å): 5.5944 5.5944 6.7727
angles (deg): 90.00 90.00 120.00
With the nearest neighbours (Å) after each atom.
Space group P6_3/mmc (No. 194)
Unique sites:
Ba (0.3333, 0.6667, 0.2500) [2 per cell]  5 Ta 3.23-3.39
Ta (0.3333, 0.6667, 0.7500) [2 per cell]  5 Ba 3.23-3.39
H (0.0000, 0.0000, 0.0000) [2 per cell]  2 H 3.39, 6 Ba 3.65, 6 Ta 3.65

---

Entry 8:
A relaxed BaTaH crystal. Source: the Alexandria database, functional PBE-GGA.

Output
As for the total magnetization: 0.00 Bohr magnetons per cell. The calculation puts the polymorph energy (0 for the lowest one) at 0.25 eV per formula unit. As for the density of states at the Fermi level: 2.58 states/eV/f.u.

a b c (Å): 20.1448 3.5678 3.7330
angles (deg): 90.00 90.04 90.00
With the nearest neighbours (Å) after each atom.
Space group Cm (No. 8)
Unique sites:
Ba (0.0000, 0.0000, 0.0000) [2 per cell]  8 H 2.71-3.00
Ba (0.1876, 0.0000, 0.4985) [2 per cell]  2 H 2.87
Ta (0.3176, 0.5000, 0.9990) [2 per cell]  4 Ta 2.75
Ta (0.3648, 0.0000, 0.4993) [2 per cell]  1 H 1.91
H (0.0759, 0.5000, 0.5000) [2 per cell]  1 H 2.34
H (0.4598, 0.0000, 0.4998) [2 per cell]  1 Ta 1.91